[1]
Na2TlH6Os | Alexandria | PBE | optimized geometry; total DFT energy (no corrections) = -3.653 eV/atom
1.0
5.335 0.000 0.000
-2.668 4.621 0.000
0.000 0.000 5.581
Na Tl H Os
2 1 6 1
Direct
0.333 0.667 0.142
0.667 0.333 0.858
0.000 0.000 0.500
0.166 0.333 0.858
0.166 0.834 0.858
0.333 0.166 0.142
0.667 0.834 0.858
0.834 0.166 0.142
0.834 0.667 0.142
0.000 0.000 0.000

[2]
MgNbAu | Alexandria | PBE | optimized geometry; formation energy from the elements = -0.38 eV/f.u.
1.0
5.145 0.000 0.000
0.000 4.877 0.000
0.000 0.000 8.749
Mg Nb Au
4 4 4
Direct
0.162 0.250 0.035
0.338 0.750 0.535
0.662 0.250 0.465
0.838 0.750 0.965
0.098 0.250 0.700
0.402 0.750 0.200
0.598 0.250 0.800
0.902 0.750 0.300
0.173 0.250 0.359
0.327 0.750 0.859
0.673 0.250 0.141
0.827 0.750 0.641

[3]
Pm6Sn3Sb | Alexandria | PBE | optimized geometry; formation energy (no corrections) = -5.64 eV per formula unit
1.0
5.276 -7.761 0.000
5.276 7.761 0.000
0.000 0.000 7.934
Pm Sn Sb
12 6 2
Direct
0.023 0.977 0.500
0.094 0.519 0.989
0.246 0.334 0.353
0.282 0.718 0.410
0.334 0.246 0.853
0.481 0.906 0.989
0.519 0.094 0.489
0.666 0.754 0.353
0.718 0.282 0.910
0.754 0.666 0.853
0.906 0.481 0.489
0.977 0.023 0.000
0.030 0.272 0.705
0.272 0.030 0.205
0.437 0.563 0.076
0.563 0.437 0.576
0.728 0.970 0.705
0.970 0.728 0.205
0.168 0.832 0.761
0.832 0.168 0.261

[4]
Pm2MgGa12 | Alexandria | PBE | optimized geometry; formation energy from the elements = -4.61 eV/f.u.
1.0
5.904 0.000 0.000
0.000 5.904 0.000
0.000 0.000 17.543
Pm Mg Ga
4 2 24
Direct
0.250 0.750 0.222
0.250 0.750 0.778
0.750 0.250 0.222
0.750 0.250 0.778
0.250 0.750 0.500
0.750 0.250 0.500
0.002 0.502 0.385
0.002 0.998 0.615
0.067 0.567 0.935
0.067 0.933 0.065
0.250 0.250 0.150
0.250 0.250 0.291
0.250 0.250 0.709
0.250 0.250 0.850
0.433 0.567 0.065
0.433 0.933 0.935
0.498 0.502 0.615
0.498 0.998 0.385
0.502 0.002 0.615
0.502 0.498 0.385
0.567 0.067 0.065
0.567 0.433 0.935
0.750 0.750 0.150
0.750 0.750 0.291
0.750 0.750 0.709
0.750 0.750 0.850
0.933 0.067 0.935
0.933 0.433 0.065
0.998 0.002 0.385
0.998 0.498 0.615

[5]
PrDyCoNi | Alexandria | PBE | optimized geometry; formation energy from the elements = -0.55 eV/f.u.
1.0
0.000 3.429 3.429
3.429 0.000 3.429
3.429 3.429 0.000
Pr Dy Co Ni
1 1 1 1
Direct
0.000 0.000 0.000
0.500 0.500 0.500
0.750 0.750 0.750
0.250 0.250 0.250

[6]
Pr5Nd4Ho | Alexandria | PBE | optimized geometry; formation energy from the elements = 0.12 eV/f.u.; E above lowest polymorph = 0.000 eV per atom
1.0
9.581 -1.841 0.000
9.581 1.841 0.000
-2.821 0.000 9.996
Pr Nd Ho
5 4 1
Direct
0.000 0.000 0.000
0.200 0.200 0.100
0.401 0.401 0.697
0.599 0.599 0.303
0.800 0.800 0.900
0.199 0.199 0.600
0.401 0.401 0.204
0.599 0.599 0.796
0.801 0.801 0.400
0.000 0.000 0.500

[7]
BaGa2BiAu2 | Alexandria | PBE | optimized geometry; formation energy from the elements = -2.49 eV/f.u.
1.0
4.648 0.000 0.000
-2.324 4.025 0.000
0.000 0.000 8.249
Ba Ga Bi Au
1 2 1 2
Direct
0.000 0.000 0.000
0.333 0.667 0.724
0.667 0.333 0.276
0.000 0.000 0.500
0.333 0.667 0.286
0.667 0.333 0.714

What is the formula in the fifth record? PrDyCoNi